[1]
Crystalline Pr14DyTh at its relaxed geometry. Source: Alexandria via LeMat-Bulk, functional GGA-PBE.

Cell lengths 7.373, 7.373, 10.508 Å; angles 90.00, 90.00, 90.00 degrees
Space group P4/mmm (No. 123)
Symmetry-distinct sites (fractional):
1 Pr 0.000 0.000 0.000 (multiplicity 1)
2 Pr 0.000 0.500 0.000 (multiplicity 2)
3 Pr 0.000 0.500 0.500 (multiplicity 2)
4 Pr 0.248 0.248 0.254 (multiplicity 8)
5 Pr 0.500 0.500 0.000 (multiplicity 1)
6 Dy 0.500 0.500 0.500 (multiplicity 1)
7 Th 0.000 0.000 0.500 (multiplicity 1)

## Properties
Calculated volume in A^3/atom: 35.71
Energy in eV/atom: -4.910

***

[2]
Crystalline Pr4Dy2Th at its relaxed geometry. Source: Alexandria via LeMat-Bulk, functional GGA-PBE.

Cell lengths 6.849, 11.715, 12.247 Å; angles 90.00, 90.00, 90.00 degrees
Space group Imma (No. 74)
Symmetry-distinct sites (fractional):
1 Pr 0.000 0.003 0.155 (multiplicity 8)
2 Pr 0.225 0.250 0.988 (multiplicity 8)
3 Dy 0.000 0.000 0.500 (multiplicity 4)
4 Dy 0.000 0.250 0.721 (multiplicity 4)
5 Th 0.250 0.250 0.250 (multiplicity 4)

## Properties
Calculated volume in A^3/atom: 35.10
Energy in eV/atom: -4.814

***

[3]
Crystalline Pr8DyTh4 at its relaxed geometry. Source: Alexandria via LeMat-Bulk, functional GGA-PBE.

Cell lengths 11.4729, 11.4729, 13.2225 Å; angles 90.00, 90.00, 120.00 degrees
Space group R-3m (No. 166, hexagonal axes)
Symmetry-distinct sites (fractional):
1 Pr 0.0000 0.0000 0.2366 (multiplicity 6)
2 Pr 0.0069 0.5035 0.7337 (multiplicity 18)
3 Dy 0.0000 0.0000 0.5000 (multiplicity 3)
4 Th 0.0000 0.0000 0.0000 (multiplicity 3)
5 Th 0.0000 0.5000 0.0000 (multiplicity 9)

## Properties
Calculated volume in A^3/atom: 38.65
Energy in eV/atom: -5.033

***

[4]
Crystalline PrDyTh2 at its relaxed geometry. Source: Alexandria via LeMat-Bulk, functional GGA-PBE.

Cell lengths 3.5900, 3.5900, 35.3706 Å; angles 90.00, 90.00, 120.00 degrees
Space group R3m (No. 160, hexagonal axes)
Symmetry-distinct sites (fractional):
1 Pr 0.0000 0.0000 0.0000 (multiplicity 3)
2 Dy 0.0000 0.0000 0.1699 (multiplicity 3)
3 Th 0.0000 0.0000 0.5835 (multiplicity 3)
4 Th 0.0000 0.0000 0.7536 (multiplicity 3)

## Properties
Calculated volume in A^3/atom: 32.90
Energy in eV/atom: -6.001

***

[5]
Crystalline PrDy5Th2 at its relaxed geometry. Source: Alexandria via LeMat-Bulk, functional GGA-PBE.

Cell lengths 3.539, 11.217, 13.292 Å; angles 90.00, 90.00, 90.00 degrees
Space group Immm (No. 71)
Symmetry-distinct sites (fractional):
1 Pr 0.000 0.000 0.000 (multiplicity 2)
2 Dy 0.000 0.228 0.368 (multiplicity 8)
3 Dy 0.000 0.500 0.000 (multiplicity 2)
4 Th 0.000 0.500 0.261 (multiplicity 4)

## Properties
Calculated volume in A^3/atom: 32.98
Energy in eV/atom: -5.232

***

[6]
Crystalline Pr2Dy4Th5 at its relaxed geometry. Source: Alexandria via LeMat-Bulk, functional GGA-PBE.

Cell lengths 8.850, 3.480, 11.772 Å; angles 90.00, 94.24, 90.00 degrees
Space group P2/m (No. 10)
Symmetry-distinct sites (fractional):
1 Pr 0.054 0.000 0.136 (multiplicity 2)
2 Dy 0.160 0.500 0.407 (multiplicity 2)
3 Dy 0.308 0.500 0.944 (multiplicity 2)
4 Th 0.206 0.000 0.675 (multiplicity 2)
5 Th 0.422 0.000 0.214 (multiplicity 2)
6 Th 0.500 0.000 0.500 (multiplicity 1)

## Properties
Calculated volume in A^3/atom: 32.87
Energy in eV/atom: -5.776

***

- Which of these has the lowest energy?
  PrDyTh2

***

- calculated volume of number 4 (PrDyTh2)?
  32.90 A^3/atom